*A*
This record from Alexandria describes an optimized crystal structure of CrOsRu. The functional is PBE.

Cell lengths 4.6325, 4.6325, 4.6325 Å; angles 146.35, 132.31, 59.63 degrees
Fractional coordinates of all 3 atoms:
Cr 0.0000 0.0000 0.0000
Os 0.6622 0.6622 0.0000
Ru 0.3348 0.3348 0.0000

Properties
Space group: Imm2
DOS(E_F), states/eV per cell: 4.2

***

*B*
This record from Alexandria describes an optimized crystal structure of CrOsRu. The functional is PBE.

Cell lengths 4.0150, 4.0150, 4.0150 Å; angles 60.00, 60.00, 60.00 degrees
Fractional coordinates of all 3 atoms:
Cr 0.0000 0.0000 0.0000
Os 0.7500 0.7500 0.7500
Ru 0.2500 0.2500 0.2500

Properties
Space group: F-43m
DOS(E_F), states/eV per cell: 5.0

***

*C*
This record from Alexandria describes an optimized crystal structure of CrOsRu. The functional is PBE.

Cell lengths 6.2522, 5.9021, 6.5525 Å; angles 59.99, 54.83, 65.17 degrees
Fractional coordinates of all 12 atoms:
Cr 0.1928 0.8072 0.4068
Cr 0.6568 0.8432 0.4428
Cr 0.8072 0.1928 0.5932
Cr 0.8432 0.6568 0.0572
Os 0.1191 0.5233 0.2568
Os 0.1492 0.9932 0.7267
Os 0.5233 0.1191 0.1008
Os 0.9932 0.1492 0.1309
Ru 0.3443 0.5007 0.7614
Ru 0.4886 0.8565 0.9057
Ru 0.5007 0.3443 0.3935
Ru 0.8565 0.4886 0.7493

Properties
Space group: Fdd2
DOS(E_F), states/eV per cell: 14.8

***

Stability, descending: *A*, *C*, *B*

***

*A*
This record from Alexandria describes an optimized crystal structure of CrOs3Ru. The functional is PBE.

Cell lengths 3.7992, 4.6702, 8.5301 Å; angles 89.84, 89.96, 66.07 degrees
Fractional coordinates of all 10 atoms:
Cr 0.0526 0.3960 0.3487
Cr 0.9474 0.6040 0.6513
Os 0.1499 0.1997 0.0517
Os 0.2496 0.0002 0.7470
Os 0.3515 0.7957 0.4540
Os 0.6485 0.2043 0.5460
Os 0.7504 0.9998 0.2530
Os 0.8501 0.8003 0.9483
Ru 0.4513 0.5970 0.1546
Ru 0.5487 0.4030 0.8454

Properties
Space group: P-1
DOS(E_F), states/eV per cell: 11.1

***

*B*
This record from Alexandria describes an optimized crystal structure of CrOs3Ru. The functional is PBE.

Cell lengths 4.3806, 4.3806, 4.3806 Å; angles 90.00, 90.00, 90.00 degrees
Fractional coordinates of all 5 atoms:
Cr 0.0000 0.0000 0.0000
Os 0.0000 0.0000 0.5000
Os 0.0000 0.5000 0.0000
Os 0.5000 0.0000 0.0000
Ru 0.5000 0.5000 0.5000

Properties
Space group: Pm-3m
DOS(E_F), states/eV per cell: 8.2

***

Stability, descending: *A*, *B*

***

*A*
This record from Alexandria describes an optimized crystal structure of CrOsRu4. The functional is PBE.

Cell lengths 4.2886, 7.1479, 7.1479 Å; angles 21.94, 90.00, 90.00 degrees
Fractional coordinates of all 6 atoms:
Cr 0.0000 0.0000 0.0000
Os 0.5000 0.2221 0.2221
Ru 0.0000 0.3378 0.3378
Ru 0.0000 0.6648 0.6648
Ru 0.5000 0.5531 0.5531
Ru 0.5000 0.8912 0.8912

Properties
Space group: Amm2
DOS(E_F), states/eV per cell: 5.0

***

*B*
This record from Alexandria describes an optimized crystal structure of CrOsRu4. The functional is PBE.

Cell lengths 5.0145, 5.0145, 5.0145 Å; angles 60.00, 60.00, 60.00 degrees
Fractional coordinates of all 6 atoms:
Cr 0.0000 0.0000 0.0000
Os 0.2500 0.2500 0.2500
Ru 0.1243 0.6252 0.6252
Ru 0.6252 0.1243 0.6252
Ru 0.6252 0.6252 0.1243
Ru 0.6252 0.6252 0.6252

Properties
Space group: F-43m
DOS(E_F), states/eV per cell: 9.4

***

Stability, descending: *A*, *B*